a:
An optimized crystal structure of BeIn4. Source: Alexandria, functional PBE-GGA.

Magnetic moment, μB per cell: 0.00
Theoretical density, Mg/m³: 6.380

Cell and atoms, written as CIF:
```
data_BeIn4
_symmetry_space_group_name_H-M 'I m -3 m'
_symmetry_Int_Tables_number 229
_symmetry_space_group_name_Hall '-I 4 2 3'
_cell_length_a 6.247
_cell_length_b 6.247
_cell_length_c 6.247
_cell_angle_alpha 90.00
_cell_angle_beta 90.00
_cell_angle_gamma 90.00
loop_
_atom_site_label
_atom_site_type_symbol
_atom_site_fract_x
_atom_site_fract_y
_atom_site_fract_z
Be1 Be 0.000 0.000 0.000
In1 In 0.250 0.250 0.250
```

---

b:
An optimized crystal structure of BeIn4. Source: Alexandria, functional PBE-GGA.

Magnetic moment, μB per cell: 0.00
Theoretical density, Mg/m³: 6.128

Cell and atoms, written as CIF:
```
data_BeIn4
_symmetry_space_group_name_H-M 'P m -3 m'
_symmetry_Int_Tables_number 221
_symmetry_space_group_name_Hall '-P 4 2 3'
_cell_length_a 5.025
_cell_length_b 5.025
_cell_length_c 5.025
_cell_angle_alpha 90.00
_cell_angle_beta 90.00
_cell_angle_gamma 90.00
loop_
_atom_site_label
_atom_site_type_symbol
_atom_site_fract_x
_atom_site_fract_y
_atom_site_fract_z
Be1 Be 0.000 0.000 0.000
In1 In 0.000 0.000 0.500
In2 In 0.500 0.500 0.500
```

---

Name the least stable of them. b.